# NdHoV2O8, optimized geometry, DFT PBE+U
# V	14.29	Å³ per atom
# total DFT energy (no corrections)	-8.045	eV per atom
data_NdHoV2O8
_chemical_formula_sum 'Nd1 Ho1 V2 O8'
_cell_length_a 6.085
_cell_length_b 6.085
_cell_length_c 6.085
_cell_angle_alpha 106.13
_cell_angle_beta 106.13
_cell_angle_gamma 116.38
_symmetry_space_group_name_H-M 'P 1'
_symmetry_Int_Tables_number 1
loop_
_symmetry_equiv_pos_as_xyz
'x,y,z'
loop_
_atom_site_label
_atom_site_type_symbol
_atom_site_fract_x
_atom_site_fract_y
_atom_site_fract_z
O1 O 0.499 0.678 0.821
O2 O 0.920 0.234 0.314
O3 O 0.394 0.080 0.314
O4 O 0.920 0.606 0.686
O5 O 0.766 0.080 0.686
O6 O 0.857 0.678 0.179
O7 O 0.322 0.501 0.179
O8 O 0.322 0.143 0.821
Ho1 Ho 0.000 0.000 0.000
Nd1 Nd 0.250 0.750 0.500
V1 V 0.500 0.500 0.000
V2 V 0.750 0.250 0.500